The following is a DFT calculation (PBE) of a geometry-optimized Th3Ti structure.

## Properties
energy relative to the elements: 0.1975 eV/atom
N(E_F): 12.46 states/eV/cell
magnetic moment: 0.0 μB/f.u.

Lattice parameters (Å, degrees): 6.8548 6.8548 5.6711 90.00 90.00 120.00
Space group P6_3/mmc (No. 194)
One atom of each set of equivalent atoms:
Th: 0.1754 0.3508 0.2500 [6 per cell]
Ti: 0.3333 0.6667 0.7500 [2 per cell]

The following is a DFT calculation (PBE) of a geometry-optimized Th3Ti structure.

## Properties
energy relative to the elements: 0.2216 eV/atom
N(E_F): 7.41 states/eV/cell
magnetic moment: 0.0 μB/f.u.

Lattice parameters (Å, degrees): 4.861 4.861 4.861 90.00 90.00 90.00
Space group Pm-3m (No. 221)
One atom of each set of equivalent atoms:
Th: 0.000 0.000 0.500 [3 per cell]
Ti: 0.500 0.500 0.500 [1 per cell]

The following is a DFT calculation (PBE) of a geometry-optimized Th2Ti structure.

## Properties
energy relative to the elements: 0.1483 eV/atom
N(E_F): 9.42 states/eV/cell
magnetic moment: 1.8 μB/f.u.

Lattice parameters (Å, degrees): 3.652 3.652 12.276 90.00 90.00 90.00
Space group I4/mmm (No. 139)
One atom of each set of equivalent atoms:
Th: 0.000 0.000 0.156 [4 per cell]
Ti: 0.000 0.000 0.500 [2 per cell]

The following is a DFT calculation (PBE) of a geometry-optimized ThTi3 structure.

## Properties
energy relative to the elements: 0.1622 eV/atom
N(E_F): 12.16 states/eV/cell
energy above the most stable polymorph in this dataset: 9 meV/atom
magnetic moment: 0.0 μB/f.u.

Lattice parameters (Å, degrees): 3.622 4.698 9.417 90.00 90.00 90.00
Space group Immm (No. 71)
One atom of each set of equivalent atoms:
Th: 0.000 0.000 0.000 [2 per cell]
Ti: 0.000 0.000 0.500 [2 per cell]
Ti: 0.000 0.500 0.242 [4 per cell]

The following is a DFT calculation (PBE) of a geometry-optimized ThTi4 structure.

## Properties
energy relative to the elements: 1.4427 eV/atom
N(E_F): 7.90 states/eV/cell
magnetic moment: 1.4 μB/f.u.

Lattice parameters (Å, degrees): 4.878 4.878 4.878 90.00 90.00 90.00
Space group Pm-3m (No. 221)
One atom of each set of equivalent atoms:
Th: 0.000 0.000 0.000 [1 per cell]
Ti: 0.000 0.000 0.500 [3 per cell]
Ti: 0.500 0.500 0.500 [1 per cell]

The following is a DFT calculation (PBE) of a geometry-optimized ThTiTl2 structure.

## Properties
energy relative to the elements: 0.0898 eV/atom
N(E_F): 4.19 states/eV/cell
energy above the most stable polymorph in this dataset: 36 meV/atom
magnetic moment: 0.0 μB/f.u.

Lattice parameters (Å, degrees): 4.646 4.646 4.698 90.00 90.00 90.00
Space group P4/mmm (No. 123)
One atom of each set of equivalent atoms:
Th: 0.000 0.000 0.000 [1 per cell]
Ti: 0.500 0.500 0.000 [1 per cell]
Tl: 0.000 0.500 0.500 [2 per cell]

The following is a DFT calculation (PBE) of a geometry-optimized ThTiTl2 structure.

## Properties
energy relative to the elements: 0.1385 eV/atom
N(E_F): 13.95 states/eV/cell
energy above the most stable polymorph in this dataset: 85 meV/atom
magnetic moment: 0.0 μB/f.u.

Lattice parameters (Å, degrees): 4.7379 4.7379 16.4241 90.00 90.00 120.00
Space group R-3m (No. 166, hexagonal axes)
One atom of each set of equivalent atoms:
Th: 0.0000 0.0000 0.0000 [3 per cell]
Ti: 0.0000 0.0000 0.5000 [3 per cell]
Tl: 0.0000 0.0000 0.2277 [6 per cell]

The following is a DFT calculation (PBE) of a geometry-optimized ThTi3Tl3 structure.

## Properties
energy relative to the elements: 0.9486 eV/atom
N(E_F): 16.41 states/eV/cell
magnetic moment: 1.1 μB/f.u.

Lattice parameters (Å, degrees): 7.410 7.410 7.410 90.00 90.00 90.00
Space group Pm-3n (No. 223)
One atom of each set of equivalent atoms:
Th: 0.000 0.000 0.000 [2 per cell]
Ti: 0.000 0.250 0.500 [6 per cell]
Tl: 0.000 0.500 0.250 [6 per cell]

The following is a DFT calculation (PBE) of a geometry-optimized ThTiTl2 structure.

## Properties
energy relative to the elements: 0.0538 eV/atom
N(E_F): 4.10 states/eV/cell
energy above the most stable polymorph in this dataset: 0 meV/atom
magnetic moment: 0.0 μB/f.u.

Lattice parameters (Å, degrees): 3.402 3.402 8.465 90.00 90.00 90.00
Space group P4/mmm (No. 123)
One atom of each set of equivalent atoms:
Th: 0.000 0.000 0.000 [1 per cell]
Ti: 0.000 0.000 0.500 [1 per cell]
Tl: 0.500 0.500 0.283 [2 per cell]

The following is a DFT calculation (PBE) of a geometry-optimized Tm2ThTi structure.

## Properties
energy relative to the elements: 0.4100 eV/atom
N(E_F): 13.31 states/eV/cell
energy above the most stable polymorph in this dataset: 248 meV/atom
magnetic moment: 1.8 μB/f.u.

Lattice parameters (Å, degrees): 3.3594 3.3594 34.6776 90.00 90.00 120.00
Space group R-3m (No. 166, hexagonal axes)
One atom of each set of equivalent atoms:
Tm: 0.0000 0.0000 0.0843 [6 per cell]
Th: 0.0000 0.0000 0.5000 [3 per cell]
Ti: 0.0000 0.0000 0.0000 [3 per cell]

The following is a DFT calculation (PBE) of a geometry-optimized TmThTi2 structure.

## Properties
energy relative to the elements: 0.1648 eV/atom
N(E_F): 5.27 states/eV/cell
magnetic moment: 0.0 μB/f.u.

Lattice parameters (Å, degrees): 3.736 3.736 6.814 90.00 90.00 90.00
Space group P4/mmm (No. 123)
One atom of each set of equivalent atoms:
Tm: 0.000 0.000 0.000 [1 per cell]
Th: 0.000 0.000 0.500 [1 per cell]
Ti: 0.500 0.500 0.287 [2 per cell]

The following is a DFT calculation (PBE) of a geometry-optimized Tm2ThTi structure.

## Properties
energy relative to the elements: 0.1617 eV/atom
N(E_F): 5.06 states/eV/cell
energy above the most stable polymorph in this dataset: 0 meV/atom
magnetic moment: 0.0 μB/f.u.

Lattice parameters (Å, degrees): 4.672 4.672 4.925 90.00 90.00 90.00
Space group P4/mmm (No. 123)
One atom of each set of equivalent atoms:
Tm: 0.000 0.500 0.000 [2 per cell]
Th: 0.000 0.000 0.500 [1 per cell]
Ti: 0.500 0.500 0.500 [1 per cell]

The following is a DFT calculation (PBE) of a geometry-optimized TmThZrTi structure.

## Properties
energy relative to the elements: 0.1932 eV/atom
N(E_F): 24.31 states/eV/cell
magnetic moment: 0.9 μB/f.u.

Lattice parameters (Å, degrees): 7.403 7.403 7.403 90.00 90.00 90.00
Space group F-43m (No. 216)
One atom of each set of equivalent atoms:
Tm: 0.000 0.000 0.000 [4 per cell]
Th: 0.000 0.000 0.500 [4 per cell]
Zr: 0.250 0.250 0.750 [4 per cell]
Ti: 0.250 0.250 0.250 [4 per cell]

The following is a DFT calculation (PBE) of a geometry-optimized ThUTi structure.

## Properties
energy relative to the elements: 0.3949 eV/atom
N(E_F): 60.52 states/eV/cell
magnetic moment: 2.3 μB/f.u.

Lattice parameters (Å, degrees): 6.581 10.033 8.886 90.00 90.00 90.00
Space group Cmce (No. 64)
One atom of each set of equivalent atoms:
Th: 0.250 0.138 0.250 [8 per cell]
U: 0.000 0.106 0.578 [8 per cell]
Ti: 0.000 0.121 0.916 [8 per cell]

The following is a DFT calculation (PBE) of a geometry-optimized ThTiV structure.

## Properties
energy relative to the elements: 0.2604 eV/atom
N(E_F): 17.65 states/eV/cell
magnetic moment: 0.1 μB/f.u.

Lattice parameters (Å, degrees): 7.045 4.156 8.661 90.00 90.00 90.00
Space group Pnma (No. 62)
One atom of each set of equivalent atoms:
Th: 0.030 0.250 0.172 [4 per cell]
Ti: 0.129 0.250 0.546 [4 per cell]
V: 0.228 0.750 0.357 [4 per cell]

The following is a DFT calculation (PBE) of a geometry-optimized ThTi2W structure.

## Properties
energy relative to the elements: 0.0965 eV/atom
N(E_F): 4.10 states/eV/cell
magnetic moment: 0.0 μB/f.u.

Lattice parameters (Å, degrees): 3.264 3.264 7.655 90.00 90.00 90.00
Space group P4/mmm (No. 123)
One atom of each set of equivalent atoms:
Th: 0.000 0.000 0.000 [1 per cell]
Ti: 0.500 0.500 0.311 [2 per cell]
W: 0.000 0.000 0.500 [1 per cell]

The following is a DFT calculation (PBE) of a geometry-optimized ThTiW4 structure.

## Properties
energy relative to the elements: 0.1898 eV/atom
N(E_F): 15.10 states/eV/cell
magnetic moment: 0.0 μB/f.u.

Lattice parameters (Å, degrees): 7.758 7.758 7.758 90.00 90.00 90.00
Space group F-43m (No. 216)
One atom of each set of equivalent atoms:
Th: 0.000 0.000 0.000 [4 per cell]
Ti: 0.250 0.250 0.250 [4 per cell]
W: 0.125 0.125 0.625 [16 per cell]

The following is a DFT calculation (PBE) of a geometry-optimized YTh2Ti structure.

## Properties
energy relative to the elements: 0.1360 eV/atom
N(E_F): 6.41 states/eV/cell
energy above the most stable polymorph in this dataset: 0 meV/atom
magnetic moment: 0.0 μB/f.u.

Lattice parameters (Å, degrees): 3.603 3.603 8.741 90.00 90.00 90.00
Space group P4/mmm (No. 123)
One atom of each set of equivalent atoms:
Y: 0.000 0.000 0.000 [1 per cell]
Th: 0.500 0.500 0.282 [2 per cell]
Ti: 0.000 0.000 0.500 [1 per cell]

The following is a DFT calculation (PBE) of a geometry-optimized YTh2Ti structure.

## Properties
energy relative to the elements: 0.4436 eV/atom
N(E_F): 19.73 states/eV/cell
energy above the most stable polymorph in this dataset: 308 meV/atom
magnetic moment: 0.0 μB/f.u.

Lattice parameters (Å, degrees): 3.3629 3.3629 35.5439 90.00 90.00 120.00
Space group R-3m (No. 166, hexagonal axes)
One atom of each set of equivalent atoms:
Y: 0.0000 0.0000 0.0000 [3 per cell]
Th: 0.0000 0.0000 0.4196 [6 per cell]
Ti: 0.0000 0.0000 0.5000 [3 per cell]

The following is a DFT calculation (PBE) of a geometry-optimized YThTi2 structure.

## Properties
energy relative to the elements: 0.1701 eV/atom
N(E_F): 4.98 states/eV/cell
magnetic moment: 0.0 μB/f.u.

Lattice parameters (Å, degrees): 3.760 3.760 6.882 90.00 90.00 90.00
Space group P4/mmm (No. 123)
One atom of each set of equivalent atoms:
Y: 0.000 0.000 0.000 [1 per cell]
Th: 0.000 0.000 0.500 [1 per cell]
Ti: 0.500 0.500 0.292 [2 per cell]

The following is a DFT calculation (PBE) of a geometry-optimized Th2TiZn structure.

## Properties
energy relative to the elements: 0.0960 eV/atom
N(E_F): 25.31 states/eV/cell
energy above the most stable polymorph in this dataset: 63 meV/atom
magnetic moment: 1.6 μB/f.u.

Lattice parameters (Å, degrees): 7.388 7.388 7.388 90.00 90.00 90.00
Space group Fm-3m (No. 225)
One atom of each set of equivalent atoms:
Th: 0.250 0.250 0.250 [8 per cell]
Ti: 0.000 0.000 0.000 [4 per cell]
Zn: 0.000 0.000 0.500 [4 per cell]

The following is a DFT calculation (PBE) of a geometry-optimized ThTiZn4 structure.

## Properties
energy relative to the elements: -0.1737 eV/atom
N(E_F): 19.97 states/eV/cell
magnetic moment: 2.2 μB/f.u.

Lattice parameters (Å, degrees): 7.591 7.591 7.591 90.00 90.00 90.00
Space group F-43m (No. 216)
One atom of each set of equivalent atoms:
Th: 0.000 0.000 0.000 [4 per cell]
Ti: 0.250 0.250 0.750 [4 per cell]
Zn: 0.124 0.124 0.376 [16 per cell]

The following is a DFT calculation (PBE) of a geometry-optimized ThTiZn2 structure.

## Properties
energy relative to the elements: -0.1203 eV/atom
N(E_F): 1.84 states/eV/cell
energy above the most stable polymorph in this dataset: 0 meV/atom
magnetic moment: 0.0 μB/f.u.

Lattice parameters (Å, degrees): 3.360 3.360 7.045 90.00 90.00 90.00
Space group P4/mmm (No. 123)
One atom of each set of equivalent atoms:
Th: 0.000 0.000 0.000 [1 per cell]
Ti: 0.000 0.000 0.500 [1 per cell]
Zn: 0.500 0.500 0.304 [2 per cell]

The following is a DFT calculation (PBE) of a geometry-optimized ThTiZn11 structure.

## Properties
energy relative to the elements: -0.1451 eV/atom
N(E_F): 7.77 states/eV/cell
magnetic moment: 0.0 μB/f.u.

Lattice parameters (Å, degrees): 5.367 12.641 6.898 90.00 112.54 90.00
Space group C2/m (No. 12)
One atom of each set of equivalent atoms:
Th: 0.000 0.000 0.000 [2 per cell]
Ti: 0.000 0.500 0.500 [2 per cell]
Zn: 0.000 0.000 0.500 [2 per cell]
Zn: 0.112 0.388 0.219 [8 per cell]
Zn: 0.188 0.176 0.354 [8 per cell]
Zn: 0.250 0.250 0.000 [4 per cell]

The following is a DFT calculation (PBE) of a geometry-optimized Th2TiZn structure.

## Properties
energy relative to the elements: 0.4032 eV/atom
N(E_F): 16.44 states/eV/cell
energy above the most stable polymorph in this dataset: 370 meV/atom
magnetic moment: 1.0 μB/f.u.

Lattice parameters (Å, degrees): 3.2730 3.2730 33.2606 90.00 90.00 120.00
Space group R-3m (No. 166, hexagonal axes)
One atom of each set of equivalent atoms:
Th: 0.0000 0.0000 0.0884 [6 per cell]
Ti: 0.0000 0.0000 0.0000 [3 per cell]
Zn: 0.0000 0.0000 0.5000 [3 per cell]

The following is a DFT calculation (PBE) of a geometry-optimized Th2TiZn structure.

## Properties
energy relative to the elements: 0.0329 eV/atom
N(E_F): 5.04 states/eV/cell
energy above the most stable polymorph in this dataset: 0 meV/atom
magnetic moment: 0.0 μB/f.u.

Lattice parameters (Å, degrees): 5.166 5.166 3.680 90.00 90.00 90.00
Space group P4/mmm (No. 123)
One atom of each set of equivalent atoms:
Th: 0.000 0.500 0.000 [2 per cell]
Ti: 0.000 0.000 0.500 [1 per cell]
Zn: 0.500 0.500 0.500 [1 per cell]

The following is a DFT calculation (PBE) of a geometry-optimized Th2TiZn6 structure.

## Properties
energy relative to the elements: -0.1599 eV/atom
N(E_F): 6.46 states/eV/cell
magnetic moment: 0.0 μB/f.u.

Lattice parameters (Å, degrees): 7.8851 7.8851 3.2852 90.00 90.00 120.00
Space group P6/mmm (No. 191)
One atom of each set of equivalent atoms:
Th: 0.3333 0.6667 0.0000 [2 per cell]
Ti: 0.0000 0.0000 0.0000 [1 per cell]
Zn: 0.0000 0.3148 0.5000 [6 per cell]

The following is a DFT calculation (PBE) of a geometry-optimized ThTiZn2 structure.

## Properties
energy relative to the elements: -0.0474 eV/atom
N(E_F): 8.66 states/eV/cell
energy above the most stable polymorph in this dataset: 73 meV/atom
magnetic moment: 0.0 μB/f.u.

Lattice parameters (Å, degrees): 6.908 6.908 6.908 90.00 90.00 90.00
Space group Fm-3m (No. 225)
One atom of each set of equivalent atoms:
Th: 0.000 0.000 0.000 [4 per cell]
Ti: 0.000 0.000 0.500 [4 per cell]
Zn: 0.250 0.250 0.250 [8 per cell]